Entry 1:
Ti2MnRu | PBE | optimized geometry

Distance to the lowest polymorph of the same formula   0.000 eV per atom
Space-group type   P4/mmm
D(E_F)   2.50 states/eV per cell
E_form   -0.522 eV/atom
E_tot   -36.32 eV per cell

abc: 3.032 3.032 6.082
angles: 90.00 90.00 90.00
Fractional coordinates of all 4 atoms:
Mn  0.500  0.500  0.000
Ti  0.000  0.000  0.242
Ti  0.000  0.000  0.758
Ru  0.500  0.500  0.500



Entry 2:
Ti2MnRu | PBE | optimized geometry

Distance to the lowest polymorph of the same formula   0.024 eV per atom
Space-group type   Fm-3m
D(E_F)   2.81 states/eV per cell
E_form   -0.498 eV/atom
E_tot   -36.23 eV per cell

abc: 4.295 4.295 4.295
angles: 60.00 60.00 60.00
Fractional coordinates of all 4 atoms:
Ru  0.500  0.500  0.500
Mn  0.000  0.000  0.000
Ti  0.250  0.250  0.250
Ti  0.750  0.750  0.750



- E_form of number 1 (Ti2MnRu)?
  -0.522 eV/atom



- Which formula does entry 2 have?
  Ti2MnRu